# 1
# SrP2OsO

SrP2OsO after structural relaxation (PBE-GGA, Alexandria via LeMat-Bulk).

Output
- distance to the lowest polymorph of the same formula (eV per atom) = 2.112
- space-group type = No. 123

a b c (Å): 5.426 5.426 4.111
angles (deg): 90.00 90.00 90.00
Fractional coordinates of all 5 atoms:
1 Os 0.500 0.500 0.500
2 O 0.000 0.000 0.500
3 Sr 0.000 0.000 0.000
4 P 0.500 0.000 0.000
5 P 0.000 0.500 0.000

---

# 2
# SrPOsO2

SrPOsO2 after structural relaxation (PBE-GGA, Alexandria via LeMat-Bulk).

Output
- distance to the lowest polymorph of the same formula (eV per atom) = 1.863
- space-group type = No. 123

a b c (Å): 3.991 3.991 6.859
angles (deg): 90.00 90.00 90.00
Fractional coordinates of all 5 atoms:
1 O 0.000 0.500 0.000
2 O 0.500 0.000 0.000
3 P 0.000 0.000 0.500
4 Os 0.500 0.500 0.500
5 Sr 0.000 0.000 0.000

---

Formation energy without anion corrections? In order: 1.73, 1.04 eV/atom.
VASP energy? In order: -4.0086, -4.6121 eV/atom.
Total magnetization? In order: 1.52, 2.57 μB per formula unit.